The following is a DFT calculation (meta-GGA SCAN) of a PBEsol-optimized structure of VF5.

- symmetry = P2_1
- formation energy without anion corrections (eV per atom) = -2.82

Structure (POSCAR):
```
VF5
1.0
5.404 -0.016 0.000
-0.025 7.189 0.000
0.000 0.000 9.713
F V
20 4
Direct
0.254 0.954 0.205 F
0.993 0.593 0.252 F
0.242 0.456 0.524 F
0.278 0.047 0.706 F
0.743 0.311 0.227 F
0.758 0.544 0.024 F
0.257 0.689 0.727 F
0.491 0.175 0.042 F
0.007 0.407 0.752 F
0.242 0.313 0.227 F
0.992 0.233 0.022 F
0.228 0.546 0.024 F
0.772 0.454 0.524 F
0.511 0.860 0.892 F
0.489 0.140 0.392 F
0.509 0.825 0.542 F
0.758 0.687 0.727 F
0.722 0.953 0.206 F
0.746 0.046 0.705 F
0.008 0.767 0.522 F
0.007 0.559 0.613 V
0.510 0.886 0.715 V
0.490 0.114 0.215 V
0.993 0.441 0.113 V
```

---

The following is a DFT calculation (meta-GGA SCAN) of a PBEsol-optimized structure of Ni2HS.

- symmetry = Fm-3m
- uncorrected energy (eV/atom) = -11.0349

Structure (POSCAR):
```
Ni2HS
1.0
-0.275 -2.596 -2.669
-0.227 -3.610 0.924
-3.206 -1.852 -0.479
Ni H S
2 1 1
Direct
0.250 0.250 0.250 Ni
0.750 0.750 0.750 Ni
0.000 0.000 0.000 H
0.500 0.500 0.500 S
```

---

The following is a DFT calculation (meta-GGA SCAN) of a PBEsol-optimized structure of YCoH3.

- symmetry = Pm-3m
- uncorrected energy (eV/atom) = -11.5499

Structure (POSCAR):
```
YCoH3
1.0
3.456 0.000 0.000
0.000 3.456 0.000
0.000 0.000 3.456
H Co Y
3 1 1
Direct
0.500 0.000 0.000 H
0.000 0.000 0.500 H
0.000 0.500 0.000 H
0.000 0.000 0.000 Co
0.500 0.500 0.500 Y
```

---

The following is a DFT calculation (meta-GGA SCAN) of a PBEsol-optimized structure of LiOs2Br.

- symmetry = Amm2
- formation energy without anion corrections (eV per atom) = 0.31

Structure (POSCAR):
```
LiOs2Br
1.0
2.907 0.000 0.000
0.000 3.490 0.000
-1.454 0.000 6.295
Li Os Br
1 2 1
Direct
0.696 0.500 0.392 Li
0.472 0.500 0.943 Os
0.060 0.000 0.121 Os
0.281 0.000 0.562 Br
```

---

Please write out number 1 again, unchanged.
The following is a DFT calculation (meta-GGA SCAN) of a PBEsol-optimized structure of VF5.

- symmetry = P2_1
- formation energy without anion corrections (eV per atom) = -2.82

Structure (POSCAR):
```
VF5
1.0
5.404 -0.016 0.000
-0.025 7.189 0.000
0.000 0.000 9.713
F V
20 4
Direct
0.254 0.954 0.205 F
0.993 0.593 0.252 F
0.242 0.456 0.524 F
0.278 0.047 0.706 F
0.743 0.311 0.227 F
0.758 0.544 0.024 F
0.257 0.689 0.727 F
0.491 0.175 0.042 F
0.007 0.407 0.752 F
0.242 0.313 0.227 F
0.992 0.233 0.022 F
0.228 0.546 0.024 F
0.772 0.454 0.524 F
0.511 0.860 0.892 F
0.489 0.140 0.392 F
0.509 0.825 0.542 F
0.758 0.687 0.727 F
0.722 0.953 0.206 F
0.746 0.046 0.705 F
0.008 0.767 0.522 F
0.007 0.559 0.613 V
0.510 0.886 0.715 V
0.490 0.114 0.215 V
0.993 0.441 0.113 V
```